Record 1
The following is a DFT calculation (PBE) of crystalline PmErCuPt at its relaxed geometry.

```
PmErCuPt
1.0
4.9726 0.0000 0.0000
2.4863 4.3064 0.0000
2.4863 1.4355 4.0601
Pm Cu Pt Er
1 1 1 1
Direct
0.0000 0.0000 0.0000
0.2500 0.2500 0.2500
0.7500 0.7500 0.7500
0.5000 0.5000 0.5000
```

Results
crystal system = cubic
VASP energy = -5.585 eV per atom
calculated volume = 86.9 Å³/cell
space group = No. 216
calculated density = 10.904 g/cm3


Record 2
The following is a DFT calculation (PBE) of crystalline AlCr2PtN at its relaxed geometry.

```
AlCr2PtN
1.0
3.8064 0.0000 0.0000
0.0000 4.2950 0.0000
0.0000 0.0000 3.8064
Cr Al Pt N
2 1 1 1
Direct
0.0000 0.0000 0.5000
0.5000 0.0000 0.0000
0.5000 0.5000 0.5000
0.0000 0.5000 0.0000
0.0000 0.0000 0.0000
```

Results
crystal system = tetragonal
VASP energy = -7.656 eV per atom
calculated volume = 62.2 Å³/cell
space group = No. 123
calculated density = 9.075 g/cm3


Record 3
The following is a DFT calculation (PBE) of crystalline Ac2Cu4HgGe3 at its relaxed geometry.

```
Ac2Cu4HgGe3
1.0
-1.5473 -1.0249 4.0026
4.0161 -1.3774 1.1998
2.2894 9.5836 3.3391
Ac Cu Hg Ge
2 4 1 3
Direct
0.5000 0.0000 0.2362
0.0000 0.5000 0.7638
0.5000 0.5000 0.0000
0.0000 0.0000 0.0000
0.5000 0.0000 0.6412
0.0000 0.5000 0.3588
0.5000 0.5000 0.5000
0.0000 0.0000 0.5000
0.5000 0.0000 0.8770
0.0000 0.5000 0.1230
```

Results
crystal system = tetragonal
VASP energy = -4.285 eV per atom
calculated volume = 202.5 Å³/cell
space group = No. 115
calculated density = 9.239 g/cm3


Record 4
The following is a DFT calculation (PBE) of crystalline AlCrFeMo at its relaxed geometry.

```
AlCrFeMo
1.0
4.1866 0.0000 0.0000
2.0933 3.6257 0.0000
2.0933 1.2086 3.4183
Cr Mo Fe Al
1 1 1 1
Direct
0.7500 0.7500 0.7500
0.0000 0.0000 0.0000
0.2500 0.2500 0.2500
0.5000 0.5000 0.5000
```

Results
crystal system = cubic
VASP energy = -8.247 eV per atom
calculated volume = 51.9 Å³/cell
space group = No. 216
calculated density = 7.385 g/cm3


Record 5
The following is a DFT calculation (PBE) of crystalline Sm3ScPb3 at its relaxed geometry.

```
Sm3ScPb3
1.0
6.7199 0.6800 0.2485
-2.3850 6.3192 0.2485
-0.4338 -0.7004 9.5832
Sm Sc Pb
6 2 6
Direct
0.5814 0.5814 0.3059
0.1845 0.8155 0.5000
0.8155 0.1845 0.5000
0.2343 0.7657 0.0000
0.7657 0.2343 0.0000
0.4186 0.4186 0.6941
0.7076 0.7076 0.9653
0.2924 0.2924 0.0347
0.9610 0.9610 0.2278
0.9416 0.5296 0.7404
0.5296 0.9416 0.7404
0.0584 0.4704 0.2596
0.4704 0.0584 0.2596
0.0390 0.0390 0.7722
```

Results
crystal system = monoclinic
VASP energy = -4.868 eV per atom
calculated volume = 424.7 Å³/cell
space group = No. 12
calculated density = 8.740 g/cm3


Record 6
The following is a DFT calculation (PBE) of crystalline La2GeO5 at its relaxed geometry.

```
La2GeO5
1.0
7.5638 0.0000 0.0000
0.0000 7.1107 0.0033
0.0000 2.8983 9.2379
La Ge O
8 4 20
Direct
0.3529 0.9170 0.3823
0.1471 0.4170 0.3823
0.6259 0.2336 0.9789
0.6471 0.0830 0.6177
0.8741 0.7336 0.9789
0.3741 0.7664 0.0211
0.8529 0.5830 0.6177
0.1259 0.2664 0.0211
0.5869 0.4607 0.2986
0.9131 0.9607 0.2986
0.0869 0.0393 0.7014
0.4131 0.5393 0.7014
0.2321 0.5503 0.5893
0.8626 0.0100 0.1107
0.1374 0.9900 0.8893
0.8787 0.4463 0.8881
0.7679 0.4497 0.4107
0.6374 0.5100 0.1107
0.9536 0.2505 0.6288
0.1213 0.5537 0.1119
0.4536 0.2495 0.3712
0.0796 0.1463 0.2889
0.7321 0.9497 0.4107
0.6213 0.9463 0.8881
0.5464 0.7505 0.6288
0.2679 0.0503 0.5893
0.0464 0.7495 0.3712
0.3787 0.0537 0.1119
0.9204 0.8537 0.7111
0.5796 0.3537 0.7111
0.3626 0.4900 0.8893
0.4204 0.6463 0.2889
```

Results
crystal system = monoclinic
VASP energy = -7.805 eV per atom
calculated volume = 496.8 Å³/cell
space group = No. 14
calculated density = 5.755 g/cm3


Question: Number 6 is which compound?
Answer: La2GeO5


Please write out number 2 again, unchanged.
The following is a DFT calculation (PBE) of crystalline AlCr2PtN at its relaxed geometry.

```
AlCr2PtN
1.0
3.8064 0.0000 0.0000
0.0000 4.2950 0.0000
0.0000 0.0000 3.8064
Cr Al Pt N
2 1 1 1
Direct
0.0000 0.0000 0.5000
0.5000 0.0000 0.0000
0.5000 0.5000 0.5000
0.0000 0.5000 0.0000
0.0000 0.0000 0.0000
```

Results
crystal system = tetragonal
VASP energy = -7.656 eV per atom
calculated volume = 62.2 Å³/cell
space group = No. 123
calculated density = 9.075 g/cm3


Question: Among the records above, which one has the highest calculated volume?
Answer: La2GeO5